Entry 1:
Material: CrInBr2
Method: DFT, PBE
State: optimized geometry

Results
- Total energy: -3.9721 eV/atom
- V: 29.40 A^3/atom
- ΔE_f (raw): -0.05 eV per atom
- Symmetry: I-4m2 (119)
- Total magnetic moment: 5.00 Bohr magnetons per cell

Lattice parameters (Å, degrees): 7.128 7.128 7.128 145.16 145.16 50.09
Sites, in units of the cell vectors:
Br: 0.000 0.000 0.000
Br: 0.250 0.750 0.500
Cr: 0.500 0.500 0.000
In: 0.750 0.250 0.500


Entry 2:
Material: CrInBr2
Method: DFT, PBE
State: optimized geometry

Results
- Total energy: -4.0459 eV/atom
- V: 25.98 A^3/atom
- ΔE_f (raw): -0.12 eV per atom
- Symmetry: P4/mmm (123)
- Total magnetic moment: 4.97 Bohr magnetons per cell

Lattice parameters (Å, degrees): 3.586 3.586 8.081 90.00 90.00 90.00
Sites, in units of the cell vectors:
Br: 0.000 0.000 0.041
Br: 0.000 0.000 0.459
Cr: 0.500 0.500 0.250
In: 0.500 0.500 0.750


> Among the records above, which one has the highest total energy?

number 1